(1)
DFT (PBE) results for HfPd12Pb3 after structural relaxation.

```
data_HfPd12Pb3
_cell_length_a 4.079
_cell_length_b 4.079
_cell_length_c 16.396
_cell_angle_alpha 90.00
_cell_angle_beta 90.00
_cell_angle_gamma 90.00
_space_group_name_H-M_alt 'P 1'
_space_group_IT_number 1
loop_
_space_group_symop_operation_xyz
'x,y,z'
loop_
_atom_site_label
_atom_site_fract_x
_atom_site_fract_y
_atom_site_fract_z
Hf1 0.000 0.000 0.000
Pd1 0.000 0.500 0.118
Pd2 0.000 0.500 0.373
Pd3 0.000 0.500 0.627
Pd4 0.000 0.500 0.882
Pd5 0.500 0.000 0.118
Pd6 0.500 0.000 0.373
Pd7 0.500 0.000 0.627
Pd8 0.500 0.000 0.882
Pd9 0.500 0.500 0.000
Pd10 0.500 0.500 0.247
Pd11 0.500 0.500 0.500
Pd12 0.500 0.500 0.753
Pb1 0.000 0.000 0.248
Pb2 0.000 0.000 0.500
Pb3 0.000 0.000 0.752
```

Output
Energy of formation in meV per atom: -444
D(E_F) in states/eV/f.u.: 2.5
ρ in Mg/m³: 12.6
Total magnetic moment in μB/f.u.: 0.000

(2)
DFT (PBE) results for InGaIr after structural relaxation.

```
data_InGaIr
_cell_length_a 5.015
_cell_length_b 5.015
_cell_length_c 7.305
_cell_angle_alpha 110.67
_cell_angle_beta 110.67
_cell_angle_gamma 39.89
_space_group_name_H-M_alt 'P 1'
_space_group_IT_number 1
loop_
_space_group_symop_operation_xyz
'x,y,z'
loop_
_atom_site_label
_atom_site_fract_x
_atom_site_fract_y
_atom_site_fract_z
In1 0.000 0.000 0.000
In2 0.739 0.739 0.463
Ga1 0.219 0.219 0.784
Ga2 0.417 0.417 0.307
Ir1 0.483 0.483 0.678
Ir2 0.742 0.742 0.073
```

Output
Energy of formation in meV per atom: -213
D(E_F) in states/eV/f.u.: 1.2
ρ in Mg/m³: 11.5
Total magnetic moment in μB/f.u.: 0.000

(3)
DFT (PBE) results for Ba2AcGa2 after structural relaxation.

```
data_Ba2AcGa2
_cell_length_a 5.664
_cell_length_b 5.664
_cell_length_c 7.199
_cell_angle_alpha 91.59
_cell_angle_beta 91.59
_cell_angle_gamma 54.83
_space_group_name_H-M_alt 'P 1'
_space_group_IT_number 1
loop_
_space_group_symop_operation_xyz
'x,y,z'
loop_
_atom_site_label
_atom_site_fract_x
_atom_site_fract_y
_atom_site_fract_z
Ba1 0.156 0.156 0.355
Ba2 0.844 0.844 0.645
Ac1 0.500 0.500 0.000
Ga1 0.185 0.185 0.872
Ga2 0.815 0.815 0.128
```

Output
Energy of formation in meV per atom: -253
D(E_F) in states/eV/f.u.: 4.2
ρ in Mg/m³: 5.6
Total magnetic moment in μB/f.u.: 0.000